Entry 1:
## Ce2ScReN6 (PBE)

Data for a geometry-optimized Ce2ScReN6 structure.

Unit cell a=5.5609 b=5.7476 c=9.6556 alpha=90.00 beta=124.90 gamma=90.00
Space group P2_1/c (No. 14)
Asymmetric unit:
Ce (0.2420, 0.0567, 0.2522) [4 per cell]
Sc (0.5000, 0.0000, 0.0000) [2 per cell]
Re (0.0000, 0.0000, 0.5000) [2 per cell]
N (0.1236, 0.2070, 0.9414) [4 per cell]
N (0.2412, 0.6840, 0.9477) [4 per cell]
N (0.3435, 0.0363, 0.7383) [4 per cell]

Calculated values
N(E_F): 0.082 states/eV per cell
E: -9.040 eV/atom
M_tot: 0.0 Bohr magnetons per cell

---

Entry 2:
## BaZrSi3 (PBE)

Data for a geometry-optimized BaZrSi3 structure.

Unit cell a=5.1538 b=5.1538 c=5.1538 alpha=90.00 beta=90.00 gamma=90.00
Space group Pm-3m (No. 221)
Asymmetric unit:
Ba (0.0000, 0.0000, 0.0000) [1 per cell]
Zr (0.5000, 0.5000, 0.5000) [1 per cell]
Si (0.0000, 0.5000, 0.5000) [3 per cell]

Calculated values
N(E_F): 3.028 states/eV per cell
E: -5.362 eV/atom
M_tot: 0.0 Bohr magnetons per cell